# 1
## SrCa3Al (PBE)

Data for SrCa3Al after structural relaxation.

a b c (Å): 6.006 6.006 6.006
angles (deg): 90.00 90.00 90.00
Sites, in units of the cell vectors:
Sr1 0.000 0.000 0.000
Ca1 0.000 0.500 0.500
Ca2 0.500 0.000 0.500
Ca3 0.500 0.500 0.000
Al1 0.500 0.500 0.500

relative energy among the computed polymorphs	0.0	meV/atom
space-group type	Pm-3m (221)
DFT total energy	-2.230	eV/atom
V	43.34	A^3/atom

=====

# 2
## Ho4AgSe2S (PBE)

Data for Ho4AgSe2S after structural relaxation.

a b c (Å): 7.052 3.952 7.124
angles (deg): 90.00 108.39 90.00
Sites, in units of the cell vectors:
Ho1 0.240 0.000 0.237
Ho2 0.246 0.500 0.756
Ho3 0.754 0.500 0.244
Ho4 0.760 0.000 0.763
Ag1 0.000 0.000 0.500
Se1 0.500 0.000 0.000
Se2 0.500 0.500 0.500
S1 0.000 0.500 0.000

space-group type	P2/m (10)
DFT total energy	-5.416	eV/atom
V	23.55	A^3/atom
E_form (uncorrected)	-1.384	eV/atom

=====

# 3
## CeTm3Th (PBE)

Data for CeTm3Th after structural relaxation.

a b c (Å): 5.925 5.925 11.274
angles (deg): 94.58 94.58 119.12
Sites, in units of the cell vectors:
Ce1 0.168 0.832 0.000
Ce2 0.832 0.168 0.000
Tm1 0.075 0.407 0.747
Tm2 0.260 0.260 0.249
Tm3 0.407 0.075 0.747
Tm4 0.593 0.925 0.253
Tm5 0.740 0.740 0.751
Tm6 0.925 0.593 0.253
Th1 0.335 0.665 0.500
Th2 0.665 0.335 0.500

relative energy among the computed polymorphs	408.5	meV/atom
space-group type	C2/m (12)
DFT total energy	-4.902	eV/atom
V	34.14	A^3/atom

=====

# 4
## RbTlTe4 (PBE)

Data for RbTlTe4 after structural relaxation.

a b c (Å): 6.356 6.354 6.653
angles (deg): 90.00 118.53 90.00
Sites, in units of the cell vectors:
Rb1 0.000 0.000 0.000
Tl1 0.502 0.500 0.002
Te1 0.000 0.256 0.500
Te2 0.000 0.744 0.500
Te3 0.500 0.256 0.500
Te4 0.500 0.744 0.500

relative energy among the computed polymorphs	0.0	meV/atom
space-group type	Pm (6)
DFT total energy	-3.017	eV/atom
V	39.35	A^3/atom
E_form (uncorrected)	-0.367	eV/atom

=====

# 5
## PuCuOs2 (PBE)

Data for PuCuOs2 after structural relaxation.

a b c (Å): 4.092 4.092 3.809
angles (deg): 90.00 90.00 90.00
Sites, in units of the cell vectors:
Pu1 0.000 0.000 0.000
Cu1 0.500 0.500 0.000
Os1 0.000 0.500 0.500
Os2 0.500 0.000 0.500

space-group type	P4/mmm (123)
DFT total energy	-10.013	eV/atom
V	15.94	A^3/atom

=====

# 6
## KSr2Cl (PBE)

Data for KSr2Cl after structural relaxation.

a b c (Å): 3.930 3.930 11.633
angles (deg): 90.00 90.00 90.00
Sites, in units of the cell vectors:
K1 0.000 0.000 0.000
Sr1 0.500 0.500 0.306
Sr2 0.500 0.500 0.694
Cl1 0.000 0.000 0.500

relative energy among the computed polymorphs	227.9	meV/atom
space-group type	P4/mmm (123)
DFT total energy	-2.180	eV/atom
V	44.91	A^3/atom
E_form (uncorrected)	-0.603	eV/atom